# 1
Crystalline Tb2MgGa at its relaxed geometry. Source: the Alexandria database, functional PBE.

Structure (extended XYZ):
```
4
Lattice="-0.142 2.307 2.845 -0.409 -2.840 2.282 7.449 -0.468 0.751" Properties=species:S:1:pos:R:3 pbc="T T T"
Tb 1.727 -0.108 0.174
Mg 3.449 -0.500 2.939
Ga -0.275 -0.266 2.564
Tb 5.722 -0.359 0.577
```

The calculation puts the total magnetization at 0.000 μB/cell. Its formation energy from the elements is -343.7 meV per atom. The calculation puts the total DFT energy (no corrections) at -3.814 eV per atom.

# 2
Crystalline Tb4MgGa at its relaxed geometry. Source: the Alexandria database, functional PBE.

Structure (extended XYZ):
```
12
Lattice="-1.117 -4.733 0.073 6.051 -1.449 -1.392 3.172 1.931 11.779" Properties=species:S:1:pos:R:3 pbc="T T T"
Tb 0.658 -2.587 4.367
Tb 3.821 -3.331 4.528
Tb 4.914 -1.057 6.675
Tb 2.236 -3.003 1.524
Tb 5.365 -1.235 2.027
Ga 2.680 -0.579 3.467
Mg 5.116 -3.708 -0.135
Ga 6.041 -3.819 6.851
Tb 7.536 -1.647 8.553
Mg 4.785 -0.973 10.182
Tb 3.023 -3.084 8.368
Tb 1.653 -0.290 6.538
```

The calculation puts the total magnetization at 0.001 μB/cell. Its formation energy from the elements is 45.9 meV per atom. The calculation puts the total DFT energy (no corrections) at -3.811 eV per atom.

# 3
Crystalline TbMg2Ga at its relaxed geometry. Source: the Alexandria database, functional PBE.

Structure (extended XYZ):
```
4
Lattice="-2.697 -1.098 -1.337 -1.177 -2.849 0.874 -7.185 3.544 7.748" Properties=species:S:1:pos:R:3 pbc="T T T"
Mg -5.602 -2.521 1.854
Mg -5.457 2.120 5.431
Tb 0.000 0.000 0.000
Ga -5.530 -0.201 3.643
```

The calculation puts the total magnetization at 0.000 μB/cell. Its formation energy from the elements is 118.1 meV per atom. The value obtained for the polymorph energy (0 for the lowest one) is 421 meV/atom. The calculation puts the total DFT energy (no corrections) at -2.593 eV per atom.

# 4
Crystalline Tb3MgGa3 at its relaxed geometry. Source: the Alexandria database, functional PBE.

Structure (extended XYZ):
```
14
Lattice="-0.564 1.505 4.881 -5.473 -6.889 1.492 8.782 -0.915 1.296" Properties=species:S:1:pos:R:3 pbc="T T T"
Tb 4.483 -5.647 3.611
Ga 0.797 -2.158 4.815
Tb -3.672 -5.914 5.457
Tb -1.738 -0.652 4.058
Ga -0.720 -6.145 5.869
Ga -3.508 -3.004 4.579
Tb 1.978 -4.741 5.748
Tb 6.417 -0.386 2.213
Mg -0.862 -4.522 2.647
Tb 0.767 -1.558 1.922
Ga 6.254 -3.295 3.091
Ga 1.949 -4.141 2.854
Ga 3.465 -0.155 1.800
Mg 3.607 -1.778 5.023
```

The calculation puts the total magnetization at 0.000 μB/cell. Its formation energy from the elements is -241.0 meV per atom. The calculation puts the total DFT energy (no corrections) at -3.750 eV per atom.